Record 1
Pu3BN5: optimized geometry, GGA-PBE.

abc: 6.7882 6.7882 6.7882
angles: 124.14 124.14 82.97
Atoms (fractional coordinates):
Pu: 0.1769 0.6769 0.8538
Pu: 0.2500 0.2500 0.0000
Pu: 0.3231 0.1769 0.5000
Pu: 0.6769 0.8231 0.5000
Pu: 0.7500 0.7500 0.0000
Pu: 0.8231 0.3231 0.1462
B: 0.2500 0.7500 0.5000
B: 0.7500 0.2500 0.5000
N: 0.0000 0.0000 0.0000
N: 0.0127 0.7887 0.5000
N: 0.2113 0.7113 0.2241
N: 0.2887 0.5127 0.5000
N: 0.4873 0.9873 0.7759
N: 0.5000 0.5000 0.0000
N: 0.5127 0.0127 0.2241
N: 0.7113 0.4873 0.5000
N: 0.7887 0.2887 0.7759
N: 0.9873 0.2113 0.5000

## Properties
Raw formation energy: -1.029 eV per atom
Space-group type: I4/mcm

---

Record 2
NaPa4O10: optimized geometry, GGA-PBE.

abc: 6.6282 6.6282 6.6282
angles: 99.62 99.62 131.74
Atoms (fractional coordinates):
Na: 0.0000 0.0000 0.0000
Pa: 0.2041 0.3971 0.6012
Pa: 0.3971 0.7959 0.1931
Pa: 0.6029 0.2041 0.8069
Pa: 0.7959 0.6029 0.3988
O: 0.0499 0.3645 0.8904
O: 0.1595 0.0499 0.6853
O: 0.2500 0.7500 0.5000
O: 0.3645 0.4742 0.3147
O: 0.4742 0.1595 0.1096
O: 0.5258 0.8405 0.8904
O: 0.6355 0.5258 0.6853
O: 0.7500 0.2500 0.5000
O: 0.8405 0.9501 0.3147
O: 0.9501 0.6355 0.1096

## Properties
Raw formation energy: -3.487 eV per atom
Space-group type: I4/m

---

Record 3
GeMoS2: optimized geometry, GGA-PBE.

abc: 7.9018 7.9018 7.9018
angles: 24.27 24.27 24.27
Atoms (fractional coordinates):
Ge: 0.0000 0.0000 0.0000
Mo: 0.5000 0.5000 0.5000
S: 0.3999 0.3999 0.3999
S: 0.6001 0.6001 0.6001

## Properties
Raw formation energy: 0.309 eV per atom
Space-group type: R-3m

---

Record 4
ScInSnHg: optimized geometry, GGA-PBE.

abc: 4.4277 4.4303 4.7096
angles: 90.00 90.00 90.00
Atoms (fractional coordinates):
Sc: 0.0000 0.0000 0.0000
In: 0.0000 0.5000 0.5000
Sn: 0.5000 0.5000 0.0000
Hg: 0.5000 0.0000 0.5000

## Properties
Space-group type: Pmmm
Formation enthalpy at 0 K: -119 kJ/mol of formula units

---

Record 5
CaTe2Mo: optimized geometry, GGA-PBE.

abc: 7.1441 7.1441 7.1441
angles: 34.80 34.80 34.80
Atoms (fractional coordinates):
Ca: 0.0000 0.0000 0.0000
Te: 0.2371 0.2371 0.2371
Te: 0.7629 0.7629 0.7629
Mo: 0.5000 0.5000 0.5000

## Properties
Offset from the most stable computed form: 0.0 kJ/mol of formula units
Raw formation energy: -0.432 eV per atom
Space-group type: R-3m

---

Record 6
KMnMo2: optimized geometry, GGA-PBE.

abc: 8.6640 8.6640 8.6640
angles: 145.93 145.93 48.95
Atoms (fractional coordinates):
K: 0.3750 0.6250 0.7500
K: 0.6250 0.3750 0.2500
Mn: 0.1250 0.8750 0.2500
Mn: 0.8750 0.1250 0.7500
Mo: 0.0000 0.0000 0.0000
Mo: 0.0000 0.0000 0.5000
Mo: 0.0000 0.5000 0.0000
Mo: 0.5000 0.0000 0.5000

## Properties
Offset from the most stable computed form: 387.1 kJ/mol of formula units
Space-group type: I4_1/amd
Formation enthalpy at 0 K: 678 kJ/mol of formula units

---

Record 7
SiIrN3: optimized geometry, GGA-PBE.

abc: 3.5712 3.5712 3.5712
angles: 90.00 90.00 90.00
Atoms (fractional coordinates):
Si: 0.0000 0.0000 0.0000
Ir: 0.5000 0.5000 0.5000
N: 0.0000 0.0000 0.5000
N: 0.0000 0.5000 0.0000
N: 0.5000 0.0000 0.0000

## Properties
Raw formation energy: 1.000 eV per atom
Space-group type: Pm-3m

---

Record 8
AlCrRe: optimized geometry, GGA-PBE.

abc: 4.9580 4.9580 4.9580
angles: 144.60 144.60 50.93
Atoms (fractional coordinates):
Al: 0.0000 0.0000 0.0000
Cr: 0.6709 0.6709 0.0000
Re: 0.3182 0.3182 0.0000

## Properties
Offset from the most stable computed form: 0.0 kJ/mol of formula units
Space-group type: I4mm
Formation enthalpy at 0 K: -65 kJ/mol of formula units

---

Record 9
NbZnCu2: optimized geometry, GGA-PBE.

abc: 2.6583 3.6000 5.9509
angles: 90.00 90.58 90.00
Atoms (fractional coordinates):
Nb: 0.0000 0.0000 0.0000
Zn: 0.0000 0.0000 0.5000
Cu: 0.4968 0.5000 0.7307
Cu: 0.5032 0.5000 0.2693

## Properties
Space-group type: P2/m
Formation enthalpy at 0 K: 14 kJ/mol of formula units

---

Record 10
Rb5Hg3: optimized geometry, GGA-PBE.

abc: 15.5148 11.2726 9.7412
angles: 90.00 90.00 90.00
Atoms (fractional coordinates):
Rb: 0.0010 0.2500 0.0328
Rb: 0.0902 0.0379 0.6743
Rb: 0.0902 0.4621 0.6743
Rb: 0.1912 0.7500 0.3452
Rb: 0.2256 0.2500 0.3200
Rb: 0.2744 0.7500 0.8200
Rb: 0.3088 0.2500 0.8452
Rb: 0.4098 0.5379 0.1743
Rb: 0.4098 0.9621 0.1743
Rb: 0.4990 0.7500 0.5328
Rb: 0.5010 0.2500 0.4672
Rb: 0.5902 0.0379 0.8257
Rb: 0.5902 0.4621 0.8257
Rb: 0.6912 0.7500 0.1548
Rb: 0.7256 0.2500 0.1800
Rb: 0.7744 0.7500 0.6800
Rb: 0.8088 0.2500 0.6548
Rb: 0.9098 0.5379 0.3257
Rb: 0.9098 0.9621 0.3257
Rb: 0.9990 0.7500 0.9672
Hg: 0.0057 0.7500 0.5814
Hg: 0.1682 0.5030 0.0534
Hg: 0.1682 0.9970 0.0534
Hg: 0.3318 0.0030 0.5534
Hg: 0.3318 0.4970 0.5534
Hg: 0.4943 0.2500 0.0814
Hg: 0.5057 0.7500 0.9186
Hg: 0.6682 0.5030 0.4466
Hg: 0.6682 0.9970 0.4466
Hg: 0.8318 0.0030 0.9466
Hg: 0.8318 0.4970 0.9466
Hg: 0.9943 0.2500 0.4186

## Properties
Offset from the most stable computed form: 0.0 kJ/mol of formula units
Space-group type: Pnma
Formation enthalpy at 0 K: -118 kJ/mol of formula units

---

Record 11
HoZr2Zn9: optimized geometry, GGA-PBE.

abc: 8.9247 8.9247 8.9247
angles: 34.49 34.49 34.49
Atoms (fractional coordinates):
Ho: 0.0000 0.0000 0.0000
Zr: 0.1436 0.1436 0.1436
Zr: 0.8564 0.8564 0.8564
Zn: 0.0775 0.5889 0.5889
Zn: 0.3353 0.3353 0.3353
Zn: 0.4111 0.4111 0.9225
Zn: 0.4111 0.9225 0.4111
Zn: 0.5000 0.5000 0.5000
Zn: 0.5889 0.0775 0.5889
Zn: 0.5889 0.5889 0.0775
Zn: 0.6647 0.6647 0.6647
Zn: 0.9225 0.4111 0.4111

## Properties
Space-group type: R-3m
Formation enthalpy at 0 K: -337 kJ/mol of formula units

---

Record 12
ScTaAs: optimized geometry, GGA-PBE.

abc: 6.7092 6.4850 3.1050
angles: 80.45 72.40 27.15
Atoms (fractional coordinates):
Sc: 0.0000 0.0000 0.0000
Ta: 0.6869 0.6869 0.3131
As: 0.3347 0.3347 0.6653

## Properties
Space-group type: Fmm2
Formation enthalpy at 0 K: -85 kJ/mol of formula units

---

Record 13
CuTe2Br6: optimized geometry, GGA-PBE.

abc: 10.8999 10.8999 5.8951
angles: 90.68 90.68 100.41
Atoms (fractional coordinates):
Cu: 0.1819 0.8181 0.7500
Cu: 0.8181 0.1819 0.2500
Te: 0.0823 0.4087 0.7107
Te: 0.4087 0.0823 0.2107
Te: 0.5913 0.9177 0.7893
Te: 0.9177 0.5913 0.2893
Br: 0.0010 0.1900 0.4943
Br: 0.1532 0.6306 0.9819
Br: 0.1900 0.0010 0.9943
Br: 0.2831 0.4558 0.4892
Br: 0.3694 0.8468 0.5181
Br: 0.4558 0.2831 0.9892
Br: 0.5442 0.7169 0.0108
Br: 0.6306 0.1532 0.4819
Br: 0.7169 0.5442 0.5108
Br: 0.8100 0.9990 0.0057
Br: 0.8468 0.3694 0.0181
Br: 0.9990 0.8100 0.5057

## Properties
Raw formation energy: -0.270 eV per atom
Space-group type: C2/c

---

Record 14
PtAuCl: optimized geometry, GGA-PBE.

abc: 4.4846 4.4846 4.4846
angles: 60.00 60.00 60.00
Atoms (fractional coordinates):
Pt: 0.0000 0.0000 0.0000
Au: 0.2500 0.2500 0.2500
Cl: 0.7500 0.7500 0.7500

## Properties
Offset from the most stable computed form: 79.0 kJ/mol of formula units
Raw formation energy: 0.583 eV per atom
Space-group type: F-43m

---

Record 15
ErScAs2O8: optimized geometry, GGA-PBE.

abc: 6.5403 6.5403 6.5403
angles: 135.62 135.62 64.57
Atoms (fractional coordinates):
Er: 0.0000 0.0000 0.0000
Sc: 0.7500 0.2500 0.5000
As: 0.2500 0.7500 0.5000
As: 0.5000 0.5000 0.0000
O: 0.0082 0.9298 0.5935
O: 0.0702 0.6637 0.0784
O: 0.1618 0.2645 0.5901
O: 0.3363 0.4147 0.4065
O: 0.4283 0.8382 0.1026
O: 0.5853 0.9918 0.9216
O: 0.6743 0.5717 0.4099
O: 0.7355 0.3257 0.8974

## Properties
Raw formation energy: -2.272 eV per atom
Space-group type: I-4

---

Record 16
Na2TlCu: optimized geometry, GGA-PBE.

abc: 6.9024 6.9024 6.9024
angles: 98.52 98.52 134.73
Atoms (fractional coordinates):
Na: 0.0448 0.6250 0.9198
Na: 0.3750 0.2948 0.4198
Na: 0.7052 0.1250 0.0802
Na: 0.8750 0.9552 0.5802
Tl: 0.2500 0.7500 0.5000
Tl: 0.5000 0.5000 0.0000
Cu: 0.0000 0.0000 0.0000
Cu: 0.7500 0.2500 0.5000

## Properties
Offset from the most stable computed form: 6.5 kJ/mol of formula units
Space-group type: I-42d
Formation enthalpy at 0 K: 76 kJ/mol of formula units